1.
Below is a relaxed structure of MnTl2Cd, with properties calculated at the PBE level.

Results
V: 24.35 Å³/atom
Relative energy among the computed polymorphs: 0.110 eV/atom
Spin magnetization: 1.005 μB/atom

CIF file:
```
data_MnTl2Cd
_cell_length_a 3.308
_cell_length_b 3.308
_cell_length_c 10.195
_cell_angle_alpha 90.00
_cell_angle_beta 90.00
_cell_angle_gamma 119.19
_symmetry_space_group_name_H-M 'P 1'
_symmetry_Int_Tables_number 1
loop_
_symmetry_equiv_pos_as_xyz
'x,y,z'
loop_
_atom_site_label
_atom_site_type_symbol
_atom_site_fract_x
_atom_site_fract_y
_atom_site_fract_z
Tl1 Tl 0.000 0.000 0.515
Tl2 Tl 0.000 0.000 0.985
Cd1 Cd 0.500 0.500 0.250
Mn1 Mn 0.500 0.500 0.750
```

2.
Below is a relaxed structure of Hf3GaSi, with properties calculated at the PBE level.

Results
V: 22.79 Å³/atom
Relative energy among the computed polymorphs: 0.554 eV/atom
Spin magnetization: 0.000 μB/atom
Energy relative to the elements, uncorrected: 0.202 eV per atom

CIF file:
```
data_Hf3GaSi
_cell_length_a 4.848
_cell_length_b 4.848
_cell_length_c 4.848
_cell_angle_alpha 90.00
_cell_angle_beta 90.00
_cell_angle_gamma 90.00
_symmetry_space_group_name_H-M 'P 1'
_symmetry_Int_Tables_number 1
loop_
_symmetry_equiv_pos_as_xyz
'x,y,z'
loop_
_atom_site_label
_atom_site_type_symbol
_atom_site_fract_x
_atom_site_fract_y
_atom_site_fract_z
Hf1 Hf 0.000 0.500 0.000
Hf2 Hf 0.000 0.000 0.500
Hf3 Hf 0.500 0.000 0.000
Si1 Si 0.000 0.000 0.000
Ga1 Ga 0.500 0.500 0.500
```

3.
Below is a relaxed structure of Zn2MoRh, with properties calculated at the PBE level.

Results
V: 14.48 Å³/atom
Relative energy among the computed polymorphs: 0.152 eV/atom
Spin magnetization: 0.000 μB/atom

CIF file:
```
data_Zn2MoRh
_cell_length_a 5.198
_cell_length_b 5.198
_cell_length_c 5.198
_cell_angle_alpha 147.84
_cell_angle_beta 128.49
_cell_angle_gamma 62.03
_symmetry_space_group_name_H-M 'P 1'
_symmetry_Int_Tables_number 1
loop_
_symmetry_equiv_pos_as_xyz
'x,y,z'
loop_
_atom_site_label
_atom_site_type_symbol
_atom_site_fract_x
_atom_site_fract_y
_atom_site_fract_z
Zn1 Zn 0.000 0.000 0.000
Zn2 Zn 0.757 0.257 0.500
Rh1 Rh 0.246 0.746 0.500
Mo1 Mo 0.497 0.497 0.000
```

4.
Below is a relaxed structure of BePb, with properties calculated at the PBE level.

Results
V: 22.03 Å³/atom
Relative energy among the computed polymorphs: 0.166 eV/atom
Spin magnetization: 0.000 μB/atom

CIF file:
```
data_BePb
_cell_length_a 3.313
_cell_length_b 3.313
_cell_length_c 8.266
_cell_angle_alpha 90.00
_cell_angle_beta 90.00
_cell_angle_gamma 103.81
_symmetry_space_group_name_H-M 'P 1'
_symmetry_Int_Tables_number 1
loop_
_symmetry_equiv_pos_as_xyz
'x,y,z'
loop_
_atom_site_label
_atom_site_type_symbol
_atom_site_fract_x
_atom_site_fract_y
_atom_site_fract_z
Pb1 Pb 0.500 0.500 0.152
Pb2 Pb 0.000 0.000 0.598
Be1 Be 0.000 0.000 0.926
Be2 Be 0.500 0.500 0.824
```

5.
Below is a relaxed structure of Pm3TmN4, with properties calculated at the PBE level.

Results
V: 16.06 Å³/atom
Relative energy among the computed polymorphs: 0.015 eV/atom
Spin magnetization: 0.000 μB/atom
Energy relative to the elements, uncorrected: -1.492 eV per atom

CIF file:
```
data_Pm3TmN4
_cell_length_a 5.046
_cell_length_b 5.046
_cell_length_c 5.046
_cell_angle_alpha 90.00
_cell_angle_beta 90.00
_cell_angle_gamma 90.00
_symmetry_space_group_name_H-M 'P 1'
_symmetry_Int_Tables_number 1
loop_
_symmetry_equiv_pos_as_xyz
'x,y,z'
loop_
_atom_site_label
_atom_site_type_symbol
_atom_site_fract_x
_atom_site_fract_y
_atom_site_fract_z
N1 N 0.000 0.000 0.500
N2 N 0.000 0.500 0.000
N3 N 0.500 0.500 0.500
N4 N 0.500 0.000 0.000
Pm1 Pm 0.000 0.500 0.500
Pm2 Pm 0.500 0.000 0.500
Pm3 Pm 0.500 0.500 0.000
Tm1 Tm 0.000 0.000 0.000
```

6.
Below is a relaxed structure of Cr2PtRh, with properties calculated at the PBE level.

Results
V: 14.43 Å³/atom
Spin magnetization: 0.019 μB/atom
Total energy: -0.59131 Ry per atom

CIF file:
```
data_Cr2PtRh
_cell_length_a 4.338
_cell_length_b 4.338
_cell_length_c 4.338
_cell_angle_alpha 60.00
_cell_angle_beta 60.00
_cell_angle_gamma 60.00
_symmetry_space_group_name_H-M 'P 1'
_symmetry_Int_Tables_number 1
loop_
_symmetry_equiv_pos_as_xyz
'x,y,z'
loop_
_atom_site_label
_atom_site_type_symbol
_atom_site_fract_x
_atom_site_fract_y
_atom_site_fract_z
Rh1 Rh 0.750 0.750 0.750
Pt1 Pt 0.500 0.500 0.500
Cr1 Cr 0.250 0.250 0.250
Cr2 Cr 0.000 0.000 0.000
```

7.
Below is a relaxed structure of Np2Cu2Ge3, with properties calculated at the PBE level.

Results
V: 18.58 Å³/atom
Spin magnetization: 1.150 μB/atom
Total energy: -0.51503 Ry per atom

CIF file:
```
data_Np2Cu2Ge3
_cell_length_a 4.365
_cell_length_b 6.601
_cell_length_c 9.284
_cell_angle_alpha 90.00
_cell_angle_beta 103.60
_cell_angle_gamma 90.00
_symmetry_space_group_name_H-M 'P 1'
_symmetry_Int_Tables_number 1
loop_
_symmetry_equiv_pos_as_xyz
'x,y,z'
loop_
_atom_site_label
_atom_site_type_symbol
_atom_site_fract_x
_atom_site_fract_y
_atom_site_fract_z
Np1 Np 0.845 0.750 0.690
Np2 Np 0.955 0.250 0.910
Np3 Np 0.155 0.250 0.310
Np4 Np 0.045 0.750 0.090
Ge1 Ge 0.566 0.442 0.132
Ge2 Ge 0.566 0.058 0.132
Ge3 Ge 0.219 0.750 0.437
Ge4 Ge 0.434 0.942 0.868
Ge5 Ge 0.434 0.558 0.868
Ge6 Ge 0.781 0.250 0.563
Cu1 Cu 0.306 0.060 0.612
Cu2 Cu 0.694 0.940 0.388
Cu3 Cu 0.306 0.440 0.612
Cu4 Cu 0.694 0.560 0.388
```

8.
Below is a relaxed structure of Y8Ho, with properties calculated at the PBE level.

Results
V: 32.07 Å³/atom
Spin magnetization: 0.000 μB/atom
Total energy: -0.45792 Ry per atom

CIF file:
```
data_Y8Ho
_cell_length_a 5.036
_cell_length_b 7.979
_cell_length_c 7.979
_cell_angle_alpha 84.29
_cell_angle_beta 71.61
_cell_angle_gamma 71.61
_symmetry_space_group_name_H-M 'P 1'
_symmetry_Int_Tables_number 1
loop_
_symmetry_equiv_pos_as_xyz
'x,y,z'
loop_
_atom_site_label
_atom_site_type_symbol
_atom_site_fract_x
_atom_site_fract_y
_atom_site_fract_z
Y1 Y 0.666 0.000 0.668
Y2 Y 0.000 0.333 0.667
Y3 Y 0.000 0.667 0.333
Y4 Y 0.334 0.000 0.332
Y5 Y 0.333 0.667 0.667
Y6 Y 0.667 0.333 0.333
Y7 Y 0.334 0.332 0.000
Y8 Y 0.666 0.668 0.000
Ho1 Ho 0.000 0.000 0.000
```

9.
Below is a relaxed structure of AgBiI2, with properties calculated at the PBE level.

Results
V: 33.85 Å³/atom
Relative energy among the computed polymorphs: 0.000 eV/atom
Spin magnetization: 0.000 μB/atom
Energy relative to the elements, uncorrected: 0.106 eV per atom

CIF file:
```
data_AgBiI2
_cell_length_a 8.307
_cell_length_b 8.307
_cell_length_c 7.064
_cell_angle_alpha 53.99
_cell_angle_beta 53.99
_cell_angle_gamma 90.00
_symmetry_space_group_name_H-M 'P 1'
_symmetry_Int_Tables_number 1
loop_
_symmetry_equiv_pos_as_xyz
'x,y,z'
loop_
_atom_site_label
_atom_site_type_symbol
_atom_site_fract_x
_atom_site_fract_y
_atom_site_fract_z
Bi1 Bi 0.750 0.250 0.500
Bi2 Bi 0.000 0.000 0.000
I1 I 0.875 0.848 0.750
I2 I 0.152 0.625 0.250
I3 I 0.375 0.402 0.750
I4 I 0.598 0.125 0.250
Ag1 Ag 0.250 0.750 0.500
Ag2 Ag 0.500 0.500 0.000
```

10.
Below is a relaxed structure of FeMo2Se, with properties calculated at the PBE level.

Results
V: 15.59 Å³/atom
Spin magnetization: 0.524 μB/atom
Energy relative to the elements, uncorrected: 0.313 eV per atom

CIF file:
```
data_FeMo2Se
_cell_length_a 8.356
_cell_length_b 8.356
_cell_length_c 8.356
_cell_angle_alpha 20.45
_cell_angle_beta 20.45
_cell_angle_gamma 20.45
_symmetry_space_group_name_H-M 'P 1'
_symmetry_Int_Tables_number 1
loop_
_symmetry_equiv_pos_as_xyz
'x,y,z'
loop_
_atom_site_label
_atom_site_type_symbol
_atom_site_fract_x
_atom_site_fract_y
_atom_site_fract_z
Fe1 Fe 0.748 0.748 0.748
Mo1 Mo 0.005 0.005 0.005
Mo2 Mo 0.245 0.245 0.245
Se1 Se 0.501 0.501 0.501
```

11.
Below is a relaxed structure of CoIN2, with properties calculated at the PBE level.

Results
V: 11.42 Å³/atom
Relative energy among the computed polymorphs: 1.030 eV/atom
Spin magnetization: 0.563 μB/atom
Energy relative to the elements, uncorrected: 2.052 eV per atom

CIF file:
```
data_CoIN2
_cell_length_a 4.012
_cell_length_b 4.012
_cell_length_c 4.012
_cell_angle_alpha 60.00
_cell_angle_beta 60.00
_cell_angle_gamma 60.00
_symmetry_space_group_name_H-M 'P 1'
_symmetry_Int_Tables_number 1
loop_
_symmetry_equiv_pos_as_xyz
'x,y,z'
loop_
_atom_site_label
_atom_site_type_symbol
_atom_site_fract_x
_atom_site_fract_y
_atom_site_fract_z
N1 N 0.250 0.250 0.250
N2 N 0.750 0.750 0.750
I1 I 0.500 0.500 0.500
Co1 Co 0.000 0.000 0.000
```

12.
Below is a relaxed structure of Nd2NiRh3, with properties calculated at the PBE level.

Results
V: 18.34 Å³/atom
Spin magnetization: 0.092 μB/atom
Total energy: -0.49748 Ry per atom

CIF file:
```
data_Nd2NiRh3
_cell_length_a 5.458
_cell_length_b 5.458
_cell_length_c 8.530
_cell_angle_alpha 90.00
_cell_angle_beta 90.00
_cell_angle_gamma 120.00
_symmetry_space_group_name_H-M 'P 1'
_symmetry_Int_Tables_number 1
loop_
_symmetry_equiv_pos_as_xyz
'x,y,z'
loop_
_atom_site_label
_atom_site_type_symbol
_atom_site_fract_x
_atom_site_fract_y
_atom_site_fract_z
Rh1 Rh 0.165 0.835 0.250
Rh2 Rh 0.835 0.670 0.750
Rh3 Rh 0.670 0.835 0.250
Rh4 Rh 0.835 0.165 0.750
Rh5 Rh 0.165 0.330 0.250
Rh6 Rh 0.330 0.165 0.750
Ni1 Ni 0.000 0.000 0.500
Ni2 Ni 0.000 0.000 0.000
Nd1 Nd 0.333 0.667 0.936
Nd2 Nd 0.667 0.333 0.436
Nd3 Nd 0.333 0.667 0.564
Nd4 Nd 0.667 0.333 0.064
```

13.
Below is a relaxed structure of InSi2Br, with properties calculated at the PBE level.

Results
V: 22.47 Å³/atom
Relative energy among the computed polymorphs: 0.467 eV/atom
Spin magnetization: 0.000 μB/atom
Energy relative to the elements, uncorrected: 0.483 eV per atom

CIF file:
```
data_InSi2Br
_cell_length_a 6.396
_cell_length_b 6.396
_cell_length_c 6.396
_cell_angle_alpha 150.79
_cell_angle_beta 134.91
_cell_angle_gamma 54.64
_symmetry_space_group_name_H-M 'P 1'
_symmetry_Int_Tables_number 1
loop_
_symmetry_equiv_pos_as_xyz
'x,y,z'
loop_
_atom_site_label
_atom_site_type_symbol
_atom_site_fract_x
_atom_site_fract_y
_atom_site_fract_z
In1 In 0.750 0.250 0.500
Si1 Si 0.969 0.969 0.000
Si2 Si 0.531 0.531 0.000
Br1 Br 0.250 0.750 0.500
```